[1]
# Sm2Dy3Tm2 PBE optimized geometry
data_Sm2Dy3Tm2
_space_group_name_H-M_alt 'C 1 2/m 1'
_space_group_IT_number 12
_cell_length_a 11.746
_cell_length_b 3.552
_cell_length_c 10.655
_cell_angle_alpha 90.00
_cell_angle_beta 95.73
_cell_angle_gamma 90.00
loop_
_space_group_symop_operation_xyz
'x,y,z'
'-x,-y,-z'
'-x,y,-z'
'x,-y,z'
'x+1/2,y+1/2,z'
'-x+1/2,-y+1/2,-z'
'-x+1/2,y+1/2,-z'
'x+1/2,-y+1/2,z'
loop_
_atom_site_label
_atom_site_type_symbol
_atom_site_fract_x
_atom_site_fract_y
_atom_site_fract_z
_atom_site_occupancy
Sm1 Sm 0.215 0.000 0.356 1
Dy1 Dy 0.000 0.500 0.500 1
Dy2 Dy 0.143 0.500 0.070 1
Tm1 Tm 0.071 0.000 0.788 1
# Formation enthalpy at 0 K   20 meV per atom
# Density of states at the Fermi level   1.309 states/eV/atom
# Calculated total energy   -64.09 eV per cell


[2]
# LiPW2 PBE optimized geometry
data_LiPW2
_space_group_name_H-M_alt 'I -4 2 d'
_space_group_IT_number 122
_space_group_name_Hall 'I -4 2bw'
_cell_length_a 7.805
_cell_length_b 7.805
_cell_length_c 4.410
_cell_angle_alpha 90.00
_cell_angle_beta 90.00
_cell_angle_gamma 90.00
loop_
_atom_site_label
_atom_site_type_symbol
_atom_site_fract_x
_atom_site_fract_y
_atom_site_fract_z
_atom_site_occupancy
Li1 Li 0.000 0.000 0.000 1
P1 P 0.000 0.000 0.500 1
W1 W 0.158 0.250 0.625 1
# Formation enthalpy at 0 K   441 meV per atom
# Density of states at the Fermi level   0.060 states/eV/atom
# Calculated total energy   -125.87 eV per cell


[3]
# UBeC PBE optimized geometry
data_UBeC
_space_group_name_H-M_alt 'P -6 m 2'
_space_group_IT_number 187
_space_group_name_Hall 'P -6 2'
_cell_length_a 3.1116
_cell_length_b 3.1116
_cell_length_c 4.0065
_cell_angle_alpha 90.00
_cell_angle_beta 90.00
_cell_angle_gamma 120.00
loop_
_atom_site_label
_atom_site_type_symbol
_atom_site_fract_x
_atom_site_fract_y
_atom_site_fract_z
_atom_site_occupancy
U1 U 0.0000 0.0000 0.0000 1
Be1 Be 0.6667 0.3333 0.5000 1
C1 C 0.3333 0.6667 0.5000 1
# Formation enthalpy at 0 K   -160 meV per atom
# Density of states at the Fermi level   1.117 states/eV/atom
# Calculated total energy   -24.72 eV per cell


[4]
# Li2MgIn8 PBE optimized geometry
data_Li2MgIn8
_space_group_name_H-M_alt 'P 4/m m m'
_space_group_IT_number 123
_space_group_name_Hall '-P 4 2'
_cell_length_a 4.758
_cell_length_b 4.758
_cell_length_c 12.072
_cell_angle_alpha 90.00
_cell_angle_beta 90.00
_cell_angle_gamma 90.00
loop_
_atom_site_label
_atom_site_type_symbol
_atom_site_fract_x
_atom_site_fract_y
_atom_site_fract_z
_atom_site_occupancy
Li1 Li 0.000 0.000 0.173 1
Mg1 Mg 0.000 0.000 0.500 1
In1 In 0.000 0.500 0.000 1
In2 In 0.000 0.500 0.350 1
In3 In 0.500 0.500 0.178 1
# Formation enthalpy at 0 K   -86 meV per atom
# Density of states at the Fermi level   0.397 states/eV/atom
# Calculated total energy   -28.28 eV per cell


[5]
# Y2TlAgB PBE optimized geometry
data_Y2TlAgB
_space_group_name_H-M_alt 'P 4/m m m'
_space_group_IT_number 123
_space_group_name_Hall '-P 4 2'
_cell_length_a 5.093
_cell_length_b 5.093
_cell_length_c 4.487
_cell_angle_alpha 90.00
_cell_angle_beta 90.00
_cell_angle_gamma 90.00
loop_
_atom_site_label
_atom_site_type_symbol
_atom_site_fract_x
_atom_site_fract_y
_atom_site_fract_z
_atom_site_occupancy
Y1 Y 0.000 0.500 0.000 1
Tl1 Tl 0.000 0.000 0.500 1
Ag1 Ag 0.500 0.500 0.500 1
B1 B 0.000 0.000 0.000 1
# Formation enthalpy at 0 K   31 meV per atom
# Density of states at the Fermi level   0.636 states/eV/atom
# Calculated total energy   -24.67 eV per cell


[6]
# Sr2GaO PBE optimized geometry
data_Sr2GaO
_space_group_name_H-M_alt 'I -4 2 d'
_space_group_IT_number 122
_space_group_name_Hall 'I -4 2bw'
_cell_length_a 7.224
_cell_length_b 7.224
_cell_length_c 9.007
_cell_angle_alpha 90.00
_cell_angle_beta 90.00
_cell_angle_gamma 90.00
loop_
_atom_site_label
_atom_site_type_symbol
_atom_site_fract_x
_atom_site_fract_y
_atom_site_fract_z
_atom_site_occupancy
Sr1 Sr 0.149 0.250 0.125 1
Ga1 Ga 0.000 0.000 0.500 1
O1 O 0.000 0.000 0.000 1
# Density of states at the Fermi level   0.299 states/eV/atom
# Energy relative to the elements, uncorrected   -1.3171 eV/atom
# Calculated total energy   -66.47 eV per cell